Computed, not measured: a relaxed structure of Li2InF at the PBE-GGA level of DFT.

extended XYZ file:
```
4
Lattice="1.5533 0.8968 7.2977 -1.5533 0.8968 7.2977 0.0000 -1.7936 7.2977" Properties=species:S:1:pos:R:3 pbc="T T T"
Li 0.0000 0.0000 4.7918
Li 0.0000 0.0000 17.1014
In 0.0000 0.0000 0.0000
F 0.0000 0.0000 10.9466
```

The formation energy without anion corrections is -1.453 eV per atom.

=====

Computed, not measured: a relaxed structure of LiIn2F2 at the PBE-GGA level of DFT.

extended XYZ file:
```
5
Lattice="-2.0099 2.0099 6.8185 2.0099 -2.0099 6.8185 2.0099 2.0099 -6.8185" Properties=species:S:1:pos:R:3 pbc="T T T"
Li 0.0000 0.0000 0.0000
In 2.0099 0.0000 3.4092
In 0.0000 2.0099 3.4092
F 0.0000 0.0000 5.4199
F 0.0000 0.0000 8.2171
```

The formation energy without anion corrections is -1.091 eV per atom.

=====

Computed, not measured: a relaxed structure of LiInF at the PBE-GGA level of DFT.

extended XYZ file:
```
3
Lattice="3.1772 0.0000 0.0000 -1.5886 2.7515 0.0000 0.0000 0.0000 7.3900" Properties=species:S:1:pos:R:3 pbc="T T T"
Li 0.0000 0.0000 0.0000
In 0.0000 1.8343 3.6950
F 1.5886 0.9172 0.0000
```

The formation energy without anion corrections is -1.729 eV per atom.

=====

Computed, not measured: a relaxed structure of Li3In5F12 at the PBE-GGA level of DFT.

extended XYZ file:
```
80
Lattice="-6.9215 6.9215 6.9215 6.9215 -6.9215 6.9215 6.9215 6.9215 -6.9215" Properties=species:S:1:pos:R:3 pbc="T T T"
Li 3.4608 1.7304 0.0000
Li 6.9215 3.4608 -1.7304
Li 1.7304 0.0000 3.4608
Li 8.6519 0.0000 3.4608
Li 0.0000 3.4608 1.7304
Li 3.4608 -1.7304 6.9215
Li 3.4608 8.6519 0.0000
Li 6.9215 3.4608 5.1911
Li -1.7304 6.9215 3.4608
Li 5.1911 6.9215 3.4608
Li 0.0000 3.4608 8.6519
Li 3.4608 5.1911 6.9215
In 0.0000 0.0000 0.0000
In 3.4608 3.4608 -3.4608
In 3.4608 -3.4608 3.4608
In 6.9215 0.0000 0.0000
In 10.3823 1.7304 0.0000
In 6.9215 -3.4608 5.1911
In 5.1911 6.9215 -3.4608
In 5.1911 0.0000 3.4608
In 3.4608 5.1911 0.0000
In 6.9215 3.4608 1.7304
In -3.4608 3.4608 3.4608
In 0.0000 6.9215 0.0000
In 0.0000 0.0000 6.9215
In 3.4608 3.4608 3.4608
In 0.0000 3.4608 5.1911
In 3.4608 1.7304 6.9215
In 1.7304 6.9215 3.4608
In 1.7304 0.0000 10.3823
In 0.0000 10.3823 1.7304
In -3.4608 5.1911 6.9215
F 6.4963 -1.2162 1.6944
F 10.8075 -1.7664 2.2446
F 1.6944 -0.4252 1.2162
F 8.6879 4.6770 -3.8860
F 1.2162 1.6944 -0.4252
F 9.1661 3.0355 -1.7664
F 8.6159 0.4252 1.2162
F 8.6879 -2.2446 3.8860
F 4.6770 3.8860 -1.7664
F 5.7053 1.6944 0.4252
F -0.4252 1.2162 1.6944
F 3.8860 -1.7664 4.6770
F 6.4963 5.7053 -1.6944
F 3.8860 1.7664 2.2446
F 5.7053 -1.6944 6.4963
F 4.6770 -3.8860 8.6879
F 1.6944 6.4963 -1.2162
F 8.6879 2.2446 3.0355
F 2.2446 3.8860 1.7664
F 8.1377 5.2271 0.4252
F 1.7664 2.2446 3.8860
F 1.6944 0.4252 5.7053
F 3.8860 8.6879 -2.2446
F 6.4963 1.2162 5.2271
F 0.4252 5.7053 1.6944
F 3.0355 -1.7664 9.1661
F 5.2271 6.4963 1.2162
F 5.1552 4.6770 3.0355
F -1.2162 1.6944 6.4963
F 4.6770 3.0355 5.1552
F -1.7664 4.6770 3.8860
F 5.2271 0.4252 8.1377
F 2.2446 10.8075 -1.7664
F 1.2162 8.6159 0.4252
F 3.0355 5.1552 4.6770
F 0.4252 1.2162 8.6159
F 3.0355 8.6879 2.2446
F 7.3468 5.7053 5.2271
F 1.2162 5.2271 6.4963
F 2.2446 3.0355 8.6879
F -1.7664 9.1661 3.0355
F -1.6944 6.4963 5.7053
F -2.2446 3.8860 8.6879
F 5.7053 5.2271 7.3468
F -1.7664 2.2446 10.8075
F 5.2271 7.3468 5.7053
F -3.8860 8.6879 4.6770
F 0.4252 8.1377 5.2271
```

The formation energy without anion corrections is -2.203 eV per atom.

=====

Computed, not measured: a relaxed structure of LiInF3 at the PBE-GGA level of DFT.

extended XYZ file:
```
5
Lattice="4.4632 0.0000 0.0000 0.0000 4.4632 0.0000 0.0000 0.0000 4.4632" Properties=species:S:1:pos:R:3 pbc="T T T"
Li 0.0000 0.0000 0.0000
In 2.2316 2.2316 2.2316
F 0.0000 2.2316 2.2316
F 2.2316 0.0000 2.2316
F 2.2316 2.2316 0.0000
```

The formation energy without anion corrections is -2.101 eV per atom.

=====

Computed, not measured: a relaxed structure of Li2InF at the PBE-GGA level of DFT.

extended XYZ file:
```
8
Lattice="-2.9225 2.9225 3.9934 2.9225 -2.9225 3.9934 2.9225 2.9225 -3.9934" Properties=species:S:1:pos:R:3 pbc="T T T"
Li 0.4897 1.4612 0.9984
Li -1.4612 2.4327 2.9951
Li -0.4897 4.3837 0.9984
Li 1.4612 3.4122 2.9951
In 2.9225 0.0000 1.9967
In 0.0000 0.0000 3.9934
F 0.0000 0.0000 0.0000
F 0.0000 2.9225 1.9967
```

The formation energy without anion corrections is -1.443 eV per atom.

=====

| no. | DOS(E_F) (states/eV/f.u.) |
| --- | --- |
| 1 | 1.34 |
| 2 | 1.61 |
| 3 | 1.06 |
| 4 | 0.00 |
| 5 | 0.78 |
| 6 | 0.14 |